Entry 1:
The following is a DFT calculation (PBE-GGA) of a relaxed Hg2BiHAu crystal.

Cell lengths 5.5344, 3.5233, 5.5344 Å; angles 90.00, 90.00, 90.00 degrees
Closest atoms and distances in Å follow each position.
Sites, in units of the cell vectors:
H (0.0000, 0.0000, 0.0000)  2 Au 1.76
Hg (0.0000, 0.0000, 0.5000)  2 H 2.77
Hg (0.5000, 0.0000, 0.0000)  2 H 2.77
Bi (0.5000, 0.5000, 0.5000)  8 Hg 3.28, 2 Bi 3.52
Au (0.0000, 0.5000, 0.0000)  2 H 1.76

Properties
DOS(E_F) (states/eV/cell): 1.736
Polymorph energy (0 for the lowest one) (meV per atom): 58


Entry 2:
The following is a DFT calculation (PBE-GGA) of a relaxed InBi2HAu crystal.

Cell lengths 5.8710, 5.8710, 3.4763 Å; angles 90.00, 90.00, 90.00 degrees
Closest atoms and distances in Å follow each position.
Sites, in units of the cell vectors:
Bi (0.5000, 0.0000, 0.0000)  2 Au 2.94
Bi (0.0000, 0.5000, 0.0000)  2 Au 2.94
In (0.5000, 0.5000, 0.5000)  8 Bi 3.41, 2 In 3.48
H (0.0000, 0.0000, 0.5000)  2 Au 1.74
Au (0.0000, 0.0000, 0.0000)  2 H 1.74

Properties
DOS(E_F) (states/eV/cell): 2.656
Raw total energy (eV per atom): -3.329


Entry 3:
The following is a DFT calculation (PBE-GGA) of a relaxed In2BiHAu crystal.

Cell lengths 5.7180, 5.7180, 3.5290 Å; angles 90.00, 90.00, 90.00 degrees
Closest atoms and distances in Å follow each position.
Sites, in units of the cell vectors:
Bi (0.5000, 0.5000, 0.5000)  8 In 3.36, 2 Bi 3.53
In (0.0000, 0.5000, 0.0000)  2 Au 2.86
In (0.5000, 0.0000, 0.0000)  2 Au 2.86
H (0.0000, 0.0000, 0.5000)  2 Au 1.76
Au (0.0000, 0.0000, 0.0000)  2 H 1.76

Properties
DOS(E_F) (states/eV/cell): 1.632
Raw total energy (eV per atom): -3.156


Entry 4:
The following is a DFT calculation (PBE-GGA) of a relaxed Bi2H6IrAu crystal.

Cell lengths 5.4894, 5.2278, 7.8313 Å; angles 57.86, 80.35, 117.53 degrees
Closest atoms and distances in Å follow each position.
Sites, in units of the cell vectors:
H (0.4055, 0.2371, 0.9101)  1 Ir 1.73, 1 Au 1.77
H (0.5945, 0.7629, 0.0899)  1 Ir 1.73, 1 Au 1.77
H (0.2025, 0.2453, 0.7075)  1 Ir 1.68
H (0.7975, 0.7547, 0.2925)  1 Ir 1.68
H (0.9374, 0.2842, 0.0019)  1 Ir 1.68
H (0.0626, 0.7158, 0.9981)  1 Ir 1.68
Au (0.5000, 0.5000, 0.0000)  2 H 1.77
Bi (0.1251, 0.7050, 0.5950)  2 H 2.32-2.36
Bi (0.8749, 0.2950, 0.4050)  2 H 2.32-2.36
Ir (0.0000, 0.0000, 0.0000)  6 H 1.68-1.73

Properties
DOS(E_F) (states/eV/cell): 1.496
Raw total energy (eV per atom): -3.864


Entry 5:
The following is a DFT calculation (PBE-GGA) of a relaxed LaBiHAu2 crystal.

Cell lengths 5.3351, 6.2767, 5.3351 Å; angles 90.00, 90.00, 90.00 degrees
Closest atoms and distances in Å follow each position.
Sites, in units of the cell vectors:
Bi (0.0000, 0.0000, 0.0000)  4 Au 2.67
La (0.0000, 0.5000, 0.0000)  2 Bi 3.14
Au (0.0000, 0.0000, 0.5000)  2 Bi 2.67
Au (0.5000, 0.0000, 0.0000)  2 Bi 2.67
H (0.5000, 0.5000, 0.5000)  4 La 3.77, 8 Au 4.12

Properties
DOS(E_F) (states/eV/cell): 2.219
Raw total energy (eV per atom): -3.202


Entry 6:
The following is a DFT calculation (PBE-GGA) of a relaxed LiBiHAu2 crystal.

Cell lengths 4.2200, 4.2200, 4.6771 Å; angles 90.00, 90.00, 90.00 degrees
Closest atoms and distances in Å follow each position.
Sites, in units of the cell vectors:
Bi (0.5000, 0.5000, 0.5000)  4 Li 2.98, 8 Au 3.15
Au (0.5000, 0.0000, 0.0000)  2 H 2.11
Au (0.0000, 0.5000, 0.0000)  2 H 2.11
Li (0.0000, 0.0000, 0.5000)  2 H 2.34
H (0.0000, 0.0000, 0.0000)  4 Au 2.11, 2 Li 2.34

Properties
DOS(E_F) (states/eV/cell): 1.275
Raw total energy (eV per atom): -3.190


DOS(E_F) of number 5 (LaBiHAu2)?
2.219 states/eV/cell